First-principles (PBE-GGA) data for an optimized crystal structure of ThPaCO, as listed in Alexandria via LeMat-Bulk.

Unit cell a=4.0020 b=4.0020 c=8.6901 alpha=90.00 beta=90.00 gamma=90.00
With the nearest neighbours (Å) after each atom.
Atoms (fractional coordinates):
Th 0.5000 0.0000 0.6520  4 O 2.40
Th 0.0000 0.5000 0.3480  4 O 2.40
Pa 0.5000 0.5000 0.0000  4 C 2.55, 4 Pa 2.83
Pa 0.0000 0.0000 0.0000  4 C 2.55, 4 Pa 2.83
C 0.0000 0.5000 0.8187  4 Pa 2.55
C 0.5000 0.0000 0.1813  4 Pa 2.55
O 0.0000 0.0000 0.5000  4 Th 2.40
O 0.5000 0.5000 0.5000  4 Th 2.40

Computed properties:
Calculated total energy ... -9.03 eV per atom
ρ ... 11.72 Mg/m³
Total magnetic moment ... 0.0000 μB per atom